This record from the Alexandria database describes a relaxed structure of SeIBr2F. The functional is PBE.

Cell: 5.9733 5.9733 3.9028 Å, 90.00 90.00 90.00°
Last column: nearest neighbours and their distance in Å.
Fractional positions:
I: 0.5000 0.5000 0.5000  8 Br 3.57, 2 I 3.90
Br: 0.0000 0.5000 0.0000  2 F 2.99
Br: 0.5000 0.0000 0.0000  2 F 2.99
Se: 0.0000 0.0000 0.5000  2 F 1.95
F: 0.0000 0.0000 0.0000  2 Se 1.95

## Properties
E	-1.788	eV/atom
distance to the lowest polymorph of the same formula	0.0	kJ/mol of formula units
space-group type	No. 123